Record 1
DFT (PBE) results for an optimized crystal structure of BaCd2HgAu.

* magnetization: 0.000 μB per cell
* VASP energy: -8.48 eV for the cell shown
* DFT formation energy: -0.23 eV per atom

Cell and atoms, written as CIF:
```
data_BaCd2HgAu
_cell_length_a 5.3485
_cell_length_b 5.3485
_cell_length_c 6.2422
_cell_angle_alpha 90.00
_cell_angle_beta 90.00
_cell_angle_gamma 90.00
_symmetry_space_group_name_H-M 'P 4/m m m'
_symmetry_Int_Tables_number 123
_symmetry_space_group_name_Hall '-P 4 2'
loop_
_atom_site_label
_atom_site_type_symbol
_atom_site_fract_x
_atom_site_fract_y
_atom_site_fract_z
Ba1 Ba 0.0000 0.0000 0.0000
Cd1 Cd 0.0000 0.5000 0.5000
Hg1 Hg 0.5000 0.5000 0.0000
Au1 Au 0.0000 0.0000 0.5000
```

Record 2
DFT (PBE) results for an optimized crystal structure of TcPb2.

* magnetization: 0.000 μB per cell
* VASP energy: -16.19 eV for the cell shown
* DFT formation energy: 0.53 eV per atom

Cell and atoms, written as CIF:
```
data_TcPb2
_cell_length_a 3.3931
_cell_length_b 3.3931
_cell_length_c 7.1022
_cell_angle_alpha 90.00
_cell_angle_beta 90.00
_cell_angle_gamma 120.00
_symmetry_space_group_name_H-M 'P -3 m 1'
_symmetry_Int_Tables_number 164
_symmetry_space_group_name_Hall '-P 3 2"'
loop_
_atom_site_label
_atom_site_type_symbol
_atom_site_fract_x
_atom_site_fract_y
_atom_site_fract_z
Tc1 Tc 0.0000 0.0000 0.0000
Pb1 Pb 0.3333 0.6667 0.2909
```

Record 3
DFT (PBE) results for an optimized crystal structure of HfCSe2N.

* ΔE_f (raw): 1.09 eV/atom
* magnetization: 0.000 μB per cell
* VASP energy: -29.01 eV for the cell shown

Cell and atoms, written as CIF:
```
data_HfCSe2N
_cell_length_a 4.3265
_cell_length_b 4.3265
_cell_length_c 3.7607
_cell_angle_alpha 90.00
_cell_angle_beta 90.00
_cell_angle_gamma 90.00
_symmetry_space_group_name_H-M 'P 4/m m m'
_symmetry_Int_Tables_number 123
_symmetry_space_group_name_Hall '-P 4 2'
loop_
_atom_site_label
_atom_site_type_symbol
_atom_site_fract_x
_atom_site_fract_y
_atom_site_fract_z
Hf1 Hf 0.0000 0.0000 0.0000
C1 C 0.5000 0.5000 0.5000
Se1 Se 0.0000 0.5000 0.5000
N1 N 0.5000 0.5000 0.0000
```